{
  "formula": "La2NpOs2",
  "functional": "PBE",
  "state": "optimized geometry",
  "dft_energy_ev_per_cell": -91.1,
  "formation_enthalpy_0k_ev_per_atom": -0.057,
  "cell": [[5.014, -3.044, 0.000], [5.014, 3.044, 0.000], [-1.383, 0.000, 8.002]],
  "species": ["La", "La", "La", "La", "Np", "Np", "Os", "Os", "Os", "Os"],
  "fractional_positions": [[0.022, 0.278, 0.152], [0.278, 0.022, 0.652], [0.722, 0.978, 0.348], [0.978, 0.722, 0.848], [0.378, 0.622, 0.250], [0.622, 0.378, 0.750], [0.241, 0.500, 0.493], [0.500, 0.241, 0.993], [0.500, 0.759, 0.007], [0.759, 0.500, 0.507]]
}

=====

{
  "formula": "LaNpOs4",
  "functional": "PBE",
  "state": "optimized geometry",
  "dft_energy_ev_per_cell": -62.7,
  "formation_enthalpy_0k_ev_per_atom": 0.011,
  "cell": [[0.000, 3.820, 3.820], [3.820, 0.000, 3.820], [3.820, 3.820, 0.000]],
  "species": ["La", "Np", "Os", "Os", "Os", "Os"],
  "fractional_positions": [[0.000, 0.000, 0.000], [0.750, 0.750, 0.750], [0.375, 0.375, 0.375], [0.375, 0.375, 0.874], [0.375, 0.874, 0.375], [0.874, 0.375, 0.375]]
}

=====

{
  "formula": "La4NpP5",
  "functional": "PBE",
  "state": "optimized geometry",
  "dft_energy_ev_per_cell": -73.7,
  "formation_enthalpy_0k_ev_per_atom": -1.402,
  "cell": [[-4.707, 4.707, 2.978], [4.707, -4.707, 2.978], [4.707, 4.707, -2.978]],
  "species": ["La", "La", "La", "La", "Np", "P", "P", "P", "P", "P"],
  "fractional_positions": [[0.098, 0.300, 0.397], [0.300, 0.902, 0.202], [0.700, 0.098, 0.798], [0.902, 0.700, 0.603], [0.500, 0.500, 0.000], [0.000, 0.000, 0.000], [0.214, 0.595, 0.808], [0.405, 0.214, 0.619], [0.595, 0.786, 0.381], [0.786, 0.405, 0.192]]
}

=====

{
  "formula": "LaNp2P3",
  "functional": "PBE",
  "state": "optimized geometry",
  "dft_energy_ev_per_cell": -53.4,
  "formation_enthalpy_0k_ev_per_atom": -1.063,
  "cell": [[-2.028, 2.880, 6.103], [2.028, -2.880, 6.103], [2.028, 2.880, -6.103]],
  "species": ["La", "Np", "Np", "P", "P", "P"],
  "fractional_positions": [[0.000, 0.000, 0.000], [0.336, 0.336, 0.000], [0.664, 0.664, 0.000], [0.180, 0.680, 0.500], [0.500, 0.000, 0.500], [0.820, 0.320, 0.500]]
}